MnIr4Se: relaxed, GGA-PBE.

Values from the calculation:
As for the energy: -44.45 eV per cell. The uncorrected formation energy comes out at 0.61 eV/atom. The space-group type is No. 216.

Structure (POSCAR):
```
MnIr4Se
1.0
0.000 3.688 3.688
3.688 0.000 3.688
3.688 3.688 0.000
Mn Ir Se
1 4 1
direct
0.000 0.000 0.000 Mn
0.375 0.375 0.375 Ir
0.375 0.375 0.876 Ir
0.375 0.876 0.375 Ir
0.876 0.375 0.375 Ir
0.750 0.750 0.750 Se
```

***

K5Mg: relaxed, GGA-PBE.

Values from the calculation:
As for the energy: -6.39 eV per cell. As for the formation energy: 0.7 eV per formula unit. The space-group type is No. 38.

Structure (POSCAR):
```
K5Mg
1.0
6.946 0.000 0.000
0.000 2.363 11.089
0.000 -2.363 11.089
K Mg
5 1
direct
0.000 0.000 0.000 K
0.000 0.293 0.293 K
0.500 0.111 0.111 K
0.500 0.434 0.434 K
0.500 0.762 0.762 K
0.000 0.648 0.648 Mg
```

***

AlNiP2C: relaxed, GGA-PBE.

Values from the calculation:
As for the energy: -29.23 eV per cell. As for the formation energy: 0.3 eV per formula unit. The space-group type is No. 1.

Structure (POSCAR):
```
AlNiP2C
1.0
3.473 0.000 0.000
-0.421 4.296 0.000
-0.594 -2.193 4.331
Al Ni P C
1 1 2 1
direct
0.000 0.000 0.000 Al
0.852 0.998 0.504 Ni
0.260 0.613 0.328 P
0.427 0.368 0.678 P
0.470 0.755 0.046 C
```

***

PmDyTeO6: relaxed, GGA-PBE.

Values from the calculation:
As for the energy: -128.43 eV per cell. The uncorrected formation energy comes out at -2.44 eV/atom. The space-group type is No. 163.

Structure (POSCAR):
```
PmDyTeO6
1.0
5.592 0.000 0.000
-2.796 4.843 0.000
0.000 0.000 9.750
Pm Dy Te O
2 2 2 12
direct
0.000 0.000 0.000 Pm
0.000 0.000 0.500 Pm
0.333 0.667 0.250 Dy
0.667 0.333 0.750 Dy
0.333 0.667 0.750 Te
0.667 0.333 0.250 Te
0.043 0.377 0.637 O
0.043 0.666 0.863 O
0.334 0.377 0.863 O
0.334 0.957 0.637 O
0.377 0.043 0.137 O
0.377 0.334 0.363 O
0.623 0.666 0.637 O
0.623 0.957 0.863 O
0.666 0.043 0.363 O
0.666 0.623 0.137 O
0.957 0.334 0.137 O
0.957 0.623 0.363 O
```

***

PmEr3Pt2: relaxed, GGA-PBE.

Values from the calculation:
As for the energy: -72.51 eV per cell. As for the formation energy: -5.7 eV per formula unit. The space-group type is No. 26.

Structure (POSCAR):
```
PmEr3Pt2
1.0
4.767 0.000 0.000
0.000 8.795 0.000
0.000 0.000 7.155
Pm Er Pt
2 6 4
direct
0.000 0.080 0.000 Pm
0.000 0.920 0.500 Pm
0.000 0.333 0.635 Er
0.000 0.667 0.135 Er
0.500 0.175 0.348 Er
0.500 0.420 0.980 Er
0.500 0.580 0.480 Er
0.500 0.825 0.848 Er
0.000 0.347 0.237 Pt
0.000 0.653 0.737 Pt
0.500 0.162 0.744 Pt
0.500 0.838 0.244 Pt
```

***

Ac4PuO10: relaxed, GGA-PBE.

Values from the calculation:
As for the energy: -124.25 eV per cell. The uncorrected formation energy comes out at -2.93 eV/atom. The space-group type is No. 87.

Structure (POSCAR):
```
Ac4PuO10
1.0
-4.518 4.518 2.905
4.518 -4.518 2.905
4.518 4.518 -2.905
Ac Pu O
4 1 10
direct
0.099 0.301 0.401 Ac
0.301 0.901 0.202 Ac
0.699 0.099 0.798 Ac
0.901 0.699 0.599 Ac
0.500 0.500 0.000 Pu
0.107 0.190 0.733 O
0.190 0.457 0.084 O
0.250 0.750 0.500 O
0.373 0.107 0.916 O
0.457 0.373 0.267 O
0.543 0.627 0.733 O
0.627 0.893 0.084 O
0.750 0.250 0.500 O
0.810 0.543 0.916 O
0.893 0.810 0.267 O
```

***

Number 1: total moment 0.679 μB per atom. Number 2: total moment 0.000 μB per atom. Number 3: total moment 0.000 μB per atom. Number 4: total moment 0.000 μB per atom. Number 5: total moment 0.000 μB per atom. Number 6: total moment 0.000 μB per atom.